The following is a DFT calculation (GGA-PBE) of crystalline CdPt3 at its relaxed geometry.

It has space group Pnma (No. 62), with a = 4.955 Å, b = 9.357 Å, c = 5.701 Å, α = 90.00°, β = 90.00° and γ = 90.00°. The distinct sites, in fractional coordinates, are Cd at (0.086, 0.250, 0.115), Pt at (0.095, 0.250, 0.619) and Pt at (0.241, 0.502, 0.370).

For the energy of formation from the pure elements, the calculation gives -180.6 meV/atom. Its total magnetization is 0.0 μB per cell. The calculation puts the total DFT energy (no corrections) at -4.94 eV/atom.